[1]
CuHgPb2N | PBE | optimized geometry

It has space group P4/mmm (No. 123), with a = 5.678 Å, b = 5.678 Å, c = 4.787 Å, α = 90.00°, β = 90.00° and γ = 90.00°. The asymmetric unit holds Cu at (0.000, 0.000, 0.000), Hg at (0.000, 0.000, 0.500), Pb at (0.000, 0.500, 0.500) and N at (0.500, 0.500, 0.000).

The calculation puts the formation energy (no corrections) at 1.64 eV per atom. As for the total magnetization: 0.058 Bohr magnetons per cell.

***

[2]
BaY2Cd | PBE | optimized geometry

It has space group I4/mmm (No. 139), with a = 5.087 Å, b = 5.087 Å, c = 10.339 Å, α = 90.00°, β = 90.00° and γ = 90.00°. The asymmetric unit holds Ba at (0.000, 0.000, 0.000), Y at (0.000, 0.500, 0.250) and Cd at (0.000, 0.000, 0.500).

For the formation energy, the calculation gives 15.6 kJ/mol of atoms. As for the total magnetization: 0.001 Bohr magnetons per cell.

***

[3]
Al2CuC2 | PBE | optimized geometry

It has space group I4/mmm (No. 139), with a = 2.730 Å, b = 2.730 Å, c = 13.810 Å, α = 90.00°, β = 90.00° and γ = 90.00°. The asymmetric unit holds Al at (0.000, 0.000, 0.128), Cu at (0.000, 0.000, 0.500) and C at (0.000, 0.500, 0.250).

For the formation energy, the calculation gives 83.2 kJ/mol of atoms. For the energy above the most stable polymorph in this dataset, the calculation gives 0.0000 eV per atom. As for the total magnetization: 0.000 Bohr magnetons per cell.

***

[4]
Nb5GeS8 | PBE | optimized geometry

It has space group F-43m (No. 216), with a = 10.424 Å, b = 10.424 Å, c = 10.424 Å, α = 90.00°, β = 90.00° and γ = 90.00°. The asymmetric unit holds Nb at (0.000, 0.000, 0.000), Nb at (0.106, 0.106, 0.606), Ge at (0.250, 0.250, 0.250), S at (0.122, 0.122, 0.378) and S at (0.133, 0.133, 0.867).

The calculation puts the formation energy (no corrections) at -0.71 eV per atom. As for the total magnetization: 4.485 Bohr magnetons per cell.

***

[5]
RbPtSe3 | PBE | optimized geometry

It has space group Pm-3m (No. 221), with a = 5.139 Å, b = 5.139 Å, c = 5.139 Å, α = 90.00°, β = 90.00° and γ = 90.00°. The asymmetric unit holds Rb at (0.000, 0.000, 0.000), Pt at (0.500, 0.500, 0.500) and Se at (0.000, 0.500, 0.500).

The calculation puts the formation energy (no corrections) at -0.15 eV per atom. As for the total magnetization: 1.021 Bohr magnetons per cell.

***

[6]
CrInPt | PBE | optimized geometry

It has space group I4mm (No. 107), with a = 2.892 Å, b = 2.892 Å, c = 11.637 Å, α = 90.00°, β = 90.00° and γ = 90.00°. The asymmetric unit holds Cr at (0.000, 0.000, 0.000), In at (0.000, 0.000, 0.673) and Pt at (0.000, 0.000, 0.363).

For the formation energy, the calculation gives 1.0 kJ/mol of atoms. As for the total magnetization: 1.701 Bohr magnetons per cell.

***

[7]
Ti3Re | PBE | optimized geometry

It has space group Pmm2 (No. 25), with a = 2.576 Å, b = 2.940 Å, c = 8.955 Å, α = 90.00°, β = 90.00° and γ = 90.00°. The asymmetric unit holds Ti at (0.000, 0.000, 0.000), Ti at (0.000, 0.500, 0.290), Ti at (0.500, 0.500, 0.764) and Re at (0.500, 0.000, 0.510).

For the formation energy, the calculation gives 23.3 kJ/mol of atoms. As for the total magnetization: 0.000 Bohr magnetons per cell.

***

[8]
TmTlInPb | PBE | optimized geometry

It has space group F-43m (No. 216), with a = 7.689 Å, b = 7.689 Å, c = 7.689 Å, α = 90.00°, β = 90.00° and γ = 90.00°. The asymmetric unit holds Tm at (0.000, 0.000, 0.000), Tl at (0.250, 0.250, 0.750), In at (0.250, 0.250, 0.250) and Pb at (0.000, 0.000, 0.500).

For the formation energy, the calculation gives -8.0 kJ/mol of atoms. For the energy above the most stable polymorph in this dataset, the calculation gives 0.1561 eV per atom. As for the total magnetization: 0.000 Bohr magnetons per cell.

***

[9]
Ca2CdFe | PBE | optimized geometry

It has space group I-4m2 (No. 119), with a = 4.579 Å, b = 4.579 Å, c = 9.470 Å, α = 90.00°, β = 90.00° and γ = 90.00°. The asymmetric unit holds Ca at (0.000, 0.000, 0.000), Ca at (0.000, 0.500, 0.250), Cd at (0.000, 0.500, 0.750) and Fe at (0.000, 0.000, 0.500).

For the formation energy, the calculation gives 28.8 kJ/mol of atoms. As for the total magnetization: 4.481 Bohr magnetons per cell.

***

[10]
NaMn3H | PBE | optimized geometry

It has space group Pm-3m (No. 221), with a = 4.050 Å, b = 4.050 Å, c = 4.050 Å, α = 90.00°, β = 90.00° and γ = 90.00°. The asymmetric unit holds Na at (0.000, 0.000, 0.000), Mn at (0.000, 0.500, 0.500) and H at (0.500, 0.500, 0.500).

For the energy above the most stable polymorph in this dataset, the calculation gives 0.0000 eV per atom. As for the total magnetization: 10.713 Bohr magnetons per cell.

***

[11]
Zr3GeMo8 | PBE | optimized geometry

It has space group R3m (No. 160, hexagonal axes), with a = 5.3449 Å, b = 5.3449 Å, c = 26.1710 Å, α = 90.00°, β = 90.00° and γ = 120.00°. The asymmetric unit holds Zr at (0.0000, 0.0000, 0.0000), Zr at (0.0000, 0.0000, 0.1264), Zr at (0.0000, 0.0000, 0.5028), Ge at (0.0000, 0.0000, 0.6278), Mo at (0.0000, 0.0000, 0.3142), Mo at (0.0000, 0.0000, 0.8131), Mo at (0.0012, 0.5006, 0.5646) and Mo at (0.1672, 0.3344, 0.3960).

For the formation energy, the calculation gives -1.7 kJ/mol of atoms. As for the total magnetization: 0.000 Bohr magnetons per cell.

***

[12]
ScHgI3 | PBE | optimized geometry

It has space group P1 (No. 1), with a = 7.287 Å, b = 7.475 Å, c = 8.545 Å, α = 94.17°, β = 96.93° and γ = 111.27°. The asymmetric unit holds Sc at (0.000, 0.000, 0.000), Sc at (0.475, 0.047, 0.737), Hg at (0.317, 0.237, 0.256), Hg at (0.708, 0.753, 0.728), I at (0.201, 0.233, 0.760), I at (0.250, 0.788, 0.950), I at (0.324, 0.763, 0.481), I at (0.680, 0.342, 0.551), I at (0.779, 0.251, 0.009) and I at (0.804, 0.776, 0.207).

For the energy above the most stable polymorph in this dataset, the calculation gives 0.0888 eV per atom. The calculation puts the formation energy (no corrections) at -0.88 eV per atom. As for the total magnetization: 0.000 Bohr magnetons per cell.

***

[13]
Rb4HgSb3 | PBE | optimized geometry

It has space group Pmm2 (No. 25), with a = 4.858 Å, b = 5.702 Å, c = 13.010 Å, α = 90.00°, β = 90.00° and γ = 90.00°. The asymmetric unit holds Rb at (0.000, 0.000, 0.000), Rb at (0.000, 0.500, 0.491), Rb at (0.500, 0.000, 0.715), Rb at (0.500, 0.500, 0.216), Hg at (0.000, 0.500, 0.796), Sb at (0.000, 0.000, 0.293), Sb at (0.500, 0.000, 0.421) and Sb at (0.500, 0.500, 0.914).

The calculation puts the formation energy (no corrections) at -0.35 eV per atom. As for the total magnetization: 0.000 Bohr magnetons per cell.

***

[14]
Ti2AlGa | PBE | optimized geometry

It has space group P4/mmm (No. 123), with a = 2.818 Å, b = 2.818 Å, c = 8.043 Å, α = 90.00°, β = 90.00° and γ = 90.00°. The asymmetric unit holds Ti at (0.000, 0.000, 0.246), Al at (0.500, 0.500, 0.500) and Ga at (0.500, 0.500, 0.000).

For the formation energy, the calculation gives -42.1 kJ/mol of atoms. As for the total magnetization: 0.000 Bohr magnetons per cell.

***

[15]
InTeAu | PBE | optimized geometry

It has space group Fmm2 (No. 42), with a = 4.298 Å, b = 5.832 Å, c = 12.245 Å, α = 90.00°, β = 90.00° and γ = 90.00°. The asymmetric unit holds In at (0.000, 0.000, 0.000), Te at (0.000, 0.000, 0.305) and Au at (0.000, 0.000, 0.645).

The calculation puts the formation energy (no corrections) at 0.05 eV per atom. As for the total magnetization: 0.000 Bohr magnetons per cell.

***

[16]
SrSiPO2 | PBE | optimized geometry

It has space group P4/mmm (No. 123), with a = 3.895 Å, b = 3.895 Å, c = 4.579 Å, α = 90.00°, β = 90.00° and γ = 90.00°. The asymmetric unit holds Sr at (0.000, 0.000, 0.000), Si at (0.500, 0.500, 0.500), P at (0.500, 0.500, 0.000) and O at (0.000, 0.500, 0.500).

For the energy above the most stable polymorph in this dataset, the calculation gives 0.0000 eV per atom. The calculation puts the formation energy (no corrections) at -1.21 eV per atom. As for the total magnetization: 0.000 Bohr magnetons per cell.